a:
Below is a crystal of TaAl2Re relaxed with PBEsol, with properties calculated at the meta-GGA SCAN level.

total magnetic moment = 0.0 μB/f.u.
N(E_F) = 0.458 states/eV/atom

Cell lengths 3.2344, 3.2344, 5.8725 Å; angles 90.00, 90.00, 90.00 degrees
Sites, in units of the cell vectors:
Ta1 0.0000 0.0000 0.0000
Al1 0.0000 0.0000 0.5192
Al2 0.5000 0.5000 0.2731
Re1 0.5000 0.5000 0.7594



b:
Below is a crystal of TaAl2Re relaxed with PBEsol, with properties calculated at the meta-GGA SCAN level.

total magnetic moment = 0.0 μB/f.u.
N(E_F) = 0.584 states/eV/atom

Cell lengths 3.8559, 3.8559, 4.1085 Å; angles 90.00, 90.00, 90.00 degrees
Sites, in units of the cell vectors:
Ta1 0.0000 0.0000 0.0000
Al1 0.0000 0.5000 0.5000
Al2 0.5000 0.0000 0.5000
Re1 0.5000 0.5000 0.0000



Which is the most stable structure? a is the most stable.



a:
Below is a crystal of TaAl2Re relaxed with PBEsol, with properties calculated at the meta-GGA SCAN level.

total magnetic moment = 0.0 μB/f.u.
N(E_F) = 0.148 states/eV/atom

Cell lengths 4.3948, 4.3948, 4.3948 Å; angles 119.75, 119.75, 90.44 degrees
Sites, in units of the cell vectors:
Ta1 0.0000 0.0000 0.0000
Al1 0.2500 0.7500 0.5000
Al2 0.5000 0.5000 0.0000
Re1 0.7500 0.2500 0.5000



b:
Below is a crystal of TaAl2Re relaxed with PBEsol, with properties calculated at the meta-GGA SCAN level.

total magnetic moment = 0.0 μB/f.u.
N(E_F) = 0.588 states/eV/atom

Cell lengths 2.7516, 2.7516, 8.7907 Å; angles 90.00, 90.00, 109.25 degrees
Sites, in units of the cell vectors:
Ta1 0.0000 0.0000 0.0000
Al1 0.0000 0.0000 0.4834
Al2 0.5000 0.5000 0.7459
Re1 0.5000 0.5000 0.2493



Which is the most stable structure? a is the most stable.